{"formula": "PmNd2AgSe5", "functional": "GGA-PBE", "state": "relaxed", "lattice": [[2.0924, -8.8330, 0.0000], [2.0924, 8.8330, 0.0000], [0.0000, 0.0000, 12.6075]], "species": ["Pm", "Pm", "Nd", "Nd", "Nd", "Nd", "Ag", "Ag", "Se", "Se", "Se", "Se", "Se", "Se", "Se", "Se", "Se", "Se"], "fractional_positions": [[0.1957, 0.8043, 0.5000], [0.8043, 0.1957, 0.0000], [0.1102, 0.8898, 0.1777], [0.1237, 0.8763, 0.7979], [0.8763, 0.1237, 0.2979], [0.8898, 0.1102, 0.6777], [0.4448, 0.5552, 0.9533], [0.5552, 0.4448, 0.4533], [0.0439, 0.9561, 0.5727], [0.2875, 0.7125, 0.1637], [0.3085, 0.6915, 0.8332], [0.3619, 0.6381, 0.4925], [0.4980, 0.5020, 0.2656], [0.5020, 0.4980, 0.7656], [0.6381, 0.3619, 0.9925], [0.6915, 0.3085, 0.3332], [0.7125, 0.2875, 0.6637], [0.9561, 0.0439, 0.0727]], "crystal_system": "orthorhombic", "formation_energy_uncorrected_ev_per_atom": -1.538, "energy_ev_per_atom": -5.38, "rho_g_cm3": 6.67}



{"formula": "TbPm4Ho2Th", "functional": "GGA-PBE", "state": "relaxed", "lattice": [[5.0783, 0.0000, 0.0000], [0.0000, 5.0877, 0.0000], [0.0000, 0.0000, 10.2122]], "species": ["Tb", "Pm", "Pm", "Pm", "Pm", "Ho", "Ho", "Th"], "fractional_positions": [[0.0000, 0.0000, 0.0000], [0.0000, 0.5000, 0.2517], [0.0000, 0.5000, 0.7483], [0.5000, 0.0000, 0.2527], [0.5000, 0.0000, 0.7473], [0.0000, 0.0000, 0.5000], [0.5000, 0.5000, 0.0000], [0.5000, 0.5000, 0.5000]], "crystal_system": "orthorhombic", "energy_ev_per_atom": -5.00, "rho_g_cm3": 8.19, "formation_energy_ev_per_atom": 0.027}



{"formula": "Dy2ErTlO", "functional": "GGA-PBE", "state": "relaxed", "lattice": [[4.7904, 0.0000, 0.0000], [0.0000, 4.7904, 0.0000], [0.0000, 0.0000, 4.7270]], "species": ["Dy", "Dy", "Er", "Tl", "O"], "fractional_positions": [[0.0000, 0.5000, 0.0000], [0.5000, 0.0000, 0.0000], [0.0000, 0.0000, 0.5000], [0.5000, 0.5000, 0.5000], [0.0000, 0.0000, 0.0000]], "crystal_system": "tetragonal", "formation_energy_uncorrected_ev_per_atom": -1.349, "energy_ev_per_atom": -5.57, "rho_g_cm3": 10.91}



{"formula": "Mn4Be10Si", "functional": "GGA-PBE", "state": "relaxed", "lattice": [[5.0175, -3.1378, 0.0000], [5.0175, 3.1378, 0.0000], [-0.8556, 0.0000, 4.2554]], "species": ["Mn", "Mn", "Mn", "Mn", "Be", "Be", "Be", "Be", "Be", "Be", "Be", "Be", "Be", "Be", "Si"], "fractional_positions": [[0.1001, 0.1001, 0.4019], [0.3043, 0.3043, 0.1964], [0.6957, 0.6957, 0.8036], [0.8999, 0.8999, 0.5981], [0.0624, 0.7370, 0.0972], [0.1291, 0.4656, 0.6977], [0.2630, 0.9376, 0.9028], [0.3282, 0.6718, 0.5000], [0.4656, 0.1291, 0.6977], [0.5344, 0.8709, 0.3023], [0.6718, 0.3282, 0.5000], [0.7370, 0.0624, 0.0972], [0.8709, 0.5344, 0.3023], [0.9376, 0.2630, 0.9028], [0.5000, 0.5000, 0.0000]], "crystal_system": "monoclinic", "formation_energy_uncorrected_ev_per_atom": -0.124, "energy_ev_per_atom": -5.41, "rho_g_cm3": 4.19}



{"formula": "Al2Cl", "functional": "GGA-PBE", "state": "relaxed", "lattice": [[8.7987, 0.0000, 0.0000], [0.0000, 3.1874, 0.0000], [-4.2879, 0.0000, 10.3593]], "species": ["Al", "Al", "Al", "Al", "Al", "Al", "Al", "Al", "Cl", "Cl", "Cl", "Cl"], "fractional_positions": [[0.0042, 0.0000, 0.1692], [0.1668, 0.5000, 0.0574], [0.3332, 0.0000, 0.9426], [0.4958, 0.5000, 0.8308], [0.5042, 0.5000, 0.1692], [0.6668, 0.0000, 0.0574], [0.8332, 0.5000, 0.9426], [0.9958, 0.0000, 0.8308], [0.0504, 0.5000, 0.3331], [0.4496, 0.0000, 0.6669], [0.5504, 0.0000, 0.3331], [0.9496, 0.5000, 0.6669]], "crystal_system": "monoclinic", "formation_energy_uncorrected_ev_per_atom": -0.449, "relative_energy_mev_per_atom": 0, "energy_ev_per_atom": -3.56, "rho_g_cm3": 2.04}



{"formula": "CrFeSb4", "functional": "GGA-PBE", "state": "relaxed", "lattice": [[5.9412, 0.0000, 0.0000], [0.0000, 3.2328, 0.0000], [-0.0197, 0.0000, 6.7008]], "species": ["Cr", "Fe", "Sb", "Sb", "Sb", "Sb"], "fractional_positions": [[0.0000, 0.0000, 0.0000], [0.5000, 0.5000, 0.5000], [0.1975, 0.0000, 0.3661], [0.3216, 0.5000, 0.8475], [0.6784, 0.5000, 0.1525], [0.8025, 0.0000, 0.6339]], "crystal_system": "monoclinic", "formation_energy_uncorrected_ev_per_atom": 0.035, "relative_energy_mev_per_atom": 0, "energy_ev_per_atom": -5.73, "rho_g_cm3": 7.68}



{"formula": "La6Pr2Er", "functional": "GGA-PBE", "state": "relaxed", "lattice": [[4.8087, -9.0910, 0.0000], [4.8087, 9.0910, 0.0000], [0.0000, 0.0000, 3.7063]], "species": ["La", "La", "La", "La", "La", "La", "Pr", "Pr", "Er"], "fractional_positions": [[0.0075, 0.3353, 0.0000], [0.1811, 0.1811, 0.5000], [0.3353, 0.0075, 0.0000], [0.6647, 0.9925, 0.0000], [0.8189, 0.8189, 0.5000], [0.9925, 0.6647, 0.0000], [0.3282, 0.6718, 0.5000], [0.6718, 0.3282, 0.5000], [0.5000, 0.5000, 0.0000]], "crystal_system": "orthorhombic", "relative_energy_mev_per_atom": 59, "energy_ev_per_atom": -4.74, "rho_g_cm3": 6.57, "formation_energy_ev_per_atom": 0.115}



{"formula": "CaNd8Tm3", "functional": "GGA-PBE", "state": "relaxed", "lattice": [[3.6501, 0.0000, 0.0000], [-1.8149, 9.5035, 0.0000], [-0.0096, -4.3153, 11.8728]], "species": ["Ca", "Nd", "Nd", "Nd", "Nd", "Nd", "Nd", "Nd", "Nd", "Tm", "Tm", "Tm"], "fractional_positions": [[0.0000, 0.0000, 0.0000], [0.0041, 0.0083, 0.5090], [0.1681, 0.3371, 0.4216], [0.1714, 0.3416, 0.9173], [0.3287, 0.6574, 0.8345], [0.3365, 0.6724, 0.3368], [0.4999, 0.0003, 0.2591], [0.6725, 0.3436, 0.1736], [0.8388, 0.6764, 0.5938], [0.5037, 0.0067, 0.7494], [0.6683, 0.3365, 0.6722], [0.8322, 0.6639, 0.0869]], "crystal_system": "triclinic", "energy_ev_per_atom": -4.43, "rho_g_cm3": 6.86, "formation_energy_ev_per_atom": 0.034}



Copy entry 3 word for word.
{"formula": "Dy2ErTlO", "functional": "GGA-PBE", "state": "relaxed", "lattice": [[4.7904, 0.0000, 0.0000], [0.0000, 4.7904, 0.0000], [0.0000, 0.0000, 4.7270]], "species": ["Dy", "Dy", "Er", "Tl", "O"], "fractional_positions": [[0.0000, 0.5000, 0.0000], [0.5000, 0.0000, 0.0000], [0.0000, 0.0000, 0.5000], [0.5000, 0.5000, 0.5000], [0.0000, 0.0000, 0.0000]], "crystal_system": "tetragonal", "formation_energy_uncorrected_ev_per_atom": -1.349, "energy_ev_per_atom": -5.57, "rho_g_cm3": 10.91}